A geometry-optimized Tb4Cd2GaAg structure, computed with GGA-PBE.

Spin magnetization = 0.000 μB per formula unit
Formation energy from the elements = -371.3 meV/atom

Unit cell a=9.0537 b=9.0537 c=9.0537 alpha=33.46 beta=33.46 gamma=33.46
Closest atoms and distances in Å follow each position.
Atoms (fractional coordinates):
1 Tb 0.1231 0.1231 0.1231  1 Ga 3.15, 4 Cd 3.17-3.22, 3 Ag 3.21
2 Tb 0.3730 0.3730 0.3730  3 Ga 3.18, 4 Cd 3.18-3.22, 1 Ag 3.25
3 Tb 0.6270 0.6270 0.6270  3 Ga 3.18, 4 Cd 3.18-3.22, 1 Ag 3.25
4 Tb 0.8769 0.8769 0.8769  1 Ga 3.15, 4 Cd 3.17-3.22, 3 Ag 3.21
5 Cd 0.2488 0.2488 0.2488  8 Tb 3.17-3.22
6 Cd 0.7512 0.7512 0.7512  8 Tb 3.17-3.22
7 Ga 0.0000 0.0000 0.0000  8 Tb 3.15-3.18
8 Ag 0.5000 0.5000 0.5000  8 Tb 3.21-3.25